[1]
The following is a PBE calculation of a relaxed structure of LiSb2Pd2, from the Alexandria database.

Computed properties:
The formation energy from raw total energies comes out at -500 meV/atom. The calculation puts the density at 7.73 g/cm³. The value obtained for the size of the total moment is 0.0 μB per cell. Its relative energy among the computed polymorphs is 4.8 meV per atom. The calculated volume comes out at 19.89 Å³/atom. As for the density of states at the Fermi level: 4.2 states/eV/cell.

Lattice parameters (Å, degrees): 4.694 4.498 9.423 89.95 90.00 90.00
Positions (direct):
Sb (0.750, 0.250, 0.341)
Pd (0.250, 0.250, 0.834)
Pd (0.750, 0.750, 0.166)
Pd (0.750, 0.749, 0.499)
Sb (0.250, 0.750, 0.012)
Sb (0.750, 0.250, 0.988)
Sb (0.250, 0.750, 0.659)
Li (0.250, 0.751, 0.328)
Li (0.750, 0.249, 0.672)
Pd (0.250, 0.251, 0.501)


[2]
The following is a PBE calculation of a relaxed structure of In2GaF, from the Alexandria database.

Computed properties:
The formation energy from raw total energies comes out at -646 meV/atom. The calculation puts the density at 6.06 g/cm³. The value obtained for the size of the total moment is 0.0 μB per cell. Its relative energy among the computed polymorphs is 0.0 meV per atom. The calculated volume comes out at 21.80 Å³/atom. As for the density of states at the Fermi level: 1.3 states/eV/cell.

Lattice parameters (Å, degrees): 3.168 3.168 10.197 81.06 81.06 60.00
Positions (direct):
Ga (0.000, 0.000, 0.000)
In (0.101, 0.101, 0.696)
F (0.500, 0.500, 0.500)
In (0.899, 0.899, 0.304)


[3]
The following is a PBE calculation of a relaxed structure of Rb2BaCaI6, from the Alexandria database.

Computed properties:
The formation energy from raw total energies comes out at -1612 meV/atom. The calculation puts the density at 3.73 g/cm³. The value obtained for the size of the total moment is 0.0 μB per cell. Its relative energy among the computed polymorphs is 0.0 meV per atom. The calculated volume comes out at 49.43 Å³/atom. As for the density of states at the Fermi level: 0.0 states/eV/cell.

Lattice parameters (Å, degrees): 8.682 9.171 12.417 90.00 90.55 90.00
Positions (direct):
Ca (0.000, 0.500, 0.000)
I (0.706, 0.312, 0.941)
I (0.319, 0.710, 0.437)
I (0.206, 0.188, 0.441)
Rb (0.470, 0.419, 0.252)
I (0.294, 0.688, 0.059)
I (0.181, 0.210, 0.063)
I (0.681, 0.290, 0.563)
I (0.794, 0.812, 0.559)
I (0.378, 0.961, 0.737)
I (0.878, 0.539, 0.237)
Rb (0.530, 0.581, 0.748)
Rb (0.030, 0.919, 0.248)
I (0.819, 0.790, 0.937)
Ba (0.500, 0.000, 0.000)
Rb (0.970, 0.081, 0.752)
Ba (0.000, 0.500, 0.500)
I (0.122, 0.461, 0.763)
I (0.622, 0.039, 0.263)
Ca (0.500, 0.000, 0.500)


[4]
The following is a PBE calculation of a relaxed structure of BiH3F, from the Alexandria database.

Computed properties:
The calculation puts the density at 7.70 g/cm³. The value obtained for the size of the total moment is 0.0 μB per cell. Its relative energy among the computed polymorphs is 611.5 meV per atom. The calculated volume comes out at 9.97 Å³/atom. As for the density of states at the Fermi level: 2.4 states/eV/cell.

Lattice parameters (Å, degrees): 3.680 3.680 3.680 90.00 90.00 90.00
Positions (direct):
H (0.000, 0.500, 0.000)
Bi (0.500, 0.500, 0.500)
F (0.000, 0.000, 0.000)
H (0.500, 0.000, 0.000)
H (0.000, 0.000, 0.500)


[5]
The following is a PBE calculation of a relaxed structure of TbMgSb, from the Alexandria database.

Computed properties:
The formation energy from raw total energies comes out at -532 meV/atom. The calculation puts the density at 6.59 g/cm³. The value obtained for the size of the total moment is 0.0 μB per cell. Its relative energy among the computed polymorphs is 0.0 meV per atom. The calculated volume comes out at 25.60 Å³/atom. As for the density of states at the Fermi level: 0.3 states/eV/cell.

Lattice parameters (Å, degrees): 3.997 4.710 4.710 120.00 90.00 90.00
Positions (direct):
Sb (0.166, 0.333, 0.667)
Tb (0.667, 0.667, 0.333)
Mg (0.168, 0.000, 0.000)


[6]
The following is a PBE calculation of a relaxed structure of CsZn3Br, from the Alexandria database.

Computed properties:
The formation energy from raw total energies comes out at 179 meV/atom. The calculation puts the density at 2.65 g/cm³. The value obtained for the size of the total moment is 0.0 μB per cell. The calculated volume comes out at 51.34 Å³/atom. As for the density of states at the Fermi level: 0.0 states/eV/cell.

Lattice parameters (Å, degrees): 6.355 6.355 6.355 90.00 90.00 90.00
Positions (direct):
Br (0.000, 0.000, 0.000)
Zn (0.000, 0.000, 0.500)
Cs (0.500, 0.500, 0.500)
Zn (0.000, 0.500, 0.000)
Zn (0.500, 0.000, 0.000)


[7]
The following is a PBE calculation of a relaxed structure of Zr4NiBi, from the Alexandria database.

Computed properties:
The calculation puts the density at 8.01 g/cm³. The value obtained for the size of the total moment is 0.0 μB per cell. The calculated volume comes out at 21.86 Å³/atom. As for the energy of formation: -0.22 eV/atom. As for the density of states at the Fermi level: 12.8 states/eV/cell.

Lattice parameters (Å, degrees): 5.843 6.700 6.700 90.00 90.00 90.00
Positions (direct):
Bi (0.750, 0.000, 0.000)
Zr (0.000, 0.821, 0.364)
Ni (0.750, 0.500, 0.500)
Zr (0.500, 0.364, 0.821)
Zr (0.500, 0.821, 0.636)
Zr (0.000, 0.636, 0.821)
Bi (0.250, 0.000, 0.000)
Zr (0.000, 0.179, 0.636)
Ni (0.250, 0.500, 0.500)
Zr (0.500, 0.636, 0.179)
Zr (0.000, 0.364, 0.179)
Zr (0.500, 0.179, 0.364)


[8]
The following is a PBE calculation of a relaxed structure of Pm4Ni2Pt, from the Alexandria database.

Computed properties:
The calculation puts the density at 8.52 g/cm³. The value obtained for the size of the total moment is 0.0 μB per cell. The calculated volume comes out at 24.84 Å³/atom. As for the energy of formation: -0.49 eV/atom. As for the density of states at the Fermi level: 9.2 states/eV/cell.

Lattice parameters (Å, degrees): 7.223 8.235 7.647 112.82 107.45 108.55
Positions (direct):
Pm (0.922, 0.650, 0.140)
Pm (0.416, 0.564, 0.233)
Pm (0.194, 0.094, 0.743)
Pt (0.969, 0.955, 0.974)
Pm (0.701, 0.100, 0.757)
Pm (0.490, 0.710, 0.874)
Ni (0.759, 0.938, 0.371)
Pm (0.432, 0.081, 0.266)
Pm (0.866, 0.587, 0.625)
Pt (0.246, 0.732, 0.527)
Ni (0.636, 0.317, 0.127)
Ni (0.069, 0.407, 0.802)
Ni (0.520, 0.355, 0.700)
Pm (0.030, 0.260, 0.360)


[9]
The following is a PBE calculation of a relaxed structure of LiHoMnAl, from the Alexandria database.

Computed properties:
The calculation puts the density at 5.74 g/cm³. The value obtained for the size of the total moment is 4.0 μB per cell. The calculated volume comes out at 18.34 Å³/atom. As for the energy of formation: -0.05 eV/atom. As for the density of states at the Fermi level: 3.3 states/eV/cell.

Lattice parameters (Å, degrees): 4.699 4.699 4.699 60.00 60.00 60.00
Each line ends with the local moment (μB).
Positions (direct):
Mn (0.250, 0.250, 0.250)  3.46
Ho (0.500, 0.500, 0.500)  0.20
Li (0.750, 0.750, 0.750)  -0.02
Al (0.000, 0.000, 0.000)  -0.01


Number 5 is which compound? TbMgSb